1.
Below is PrHo2Ge2Pd7 after structural relaxation, with properties calculated at the PBE-GGA level.

CIF file:
```
data_PrHo2Ge2Pd7
_cell_length_a 5.814
_cell_length_b 5.758
_cell_length_c 13.965
_cell_angle_alpha 90.00
_cell_angle_beta 99.52
_cell_angle_gamma 90.00
_space_group_name_H-M_alt 'C 1 2/m 1'
_space_group_IT_number 12
loop_
_space_group_symop_operation_xyz
'x,y,z'
'-x,-y,-z'
'-x,y,-z'
'x,-y,z'
'x+1/2,y+1/2,z'
'-x+1/2,-y+1/2,-z'
'-x+1/2,y+1/2,-z'
'x+1/2,-y+1/2,z'
loop_
_atom_site_label
_atom_site_fract_x
_atom_site_fract_y
_atom_site_fract_z
Pr1 0.000 0.000 0.000
Ho1 0.133 0.000 0.352
Ge1 0.104 0.500 0.265
Pd1 0.000 0.500 0.000
Pd2 0.178 0.500 0.444
Pd3 0.186 0.250 0.837
```

* M_tot: 0.00 μB per formula unit
* DOS(E_F): 14.31 states/eV per cell
* formation energy from the elements: -0.76 eV per atom

---

2.
Below is HoGePdPt after structural relaxation, with properties calculated at the PBE-GGA level.

CIF file:
```
data_HoGePdPt
_cell_length_a 6.636
_cell_length_b 6.636
_cell_length_c 6.636
_cell_angle_alpha 90.00
_cell_angle_beta 90.00
_cell_angle_gamma 90.00
_space_group_name_H-M_alt 'F -4 3 m'
_space_group_IT_number 216
_space_group_name_Hall 'F -4 2 3'
loop_
_atom_site_label
_atom_site_fract_x
_atom_site_fract_y
_atom_site_fract_z
Ho1 0.000 0.000 0.000
Ge1 0.000 0.000 0.500
Pd1 0.250 0.250 0.250
Pt1 0.250 0.250 0.750
```

* M_tot: 0.00 μB per formula unit
* DOS(E_F): 6.54 states/eV per cell
* formation energy from the elements: -0.79 eV per atom

---

3.
Below is Ho2Ge4Pd3Pt after structural relaxation, with properties calculated at the PBE-GGA level.

CIF file:
```
data_Ho2Ge4Pd3Pt
_cell_length_a 4.246
_cell_length_b 4.246
_cell_length_c 10.335
_cell_angle_alpha 90.00
_cell_angle_beta 90.00
_cell_angle_gamma 90.00
_space_group_name_H-M_alt 'P -4 m 2'
_space_group_IT_number 115
loop_
_space_group_symop_operation_xyz
'x,y,z'
'y,-x,-z'
'-x,-y,z'
'-y,x,-z'
'-x,y,z'
'-y,-x,-z'
'x,-y,z'
'y,x,-z'
loop_
_atom_site_label
_atom_site_fract_x
_atom_site_fract_y
_atom_site_fract_z
Ho1 0.000 0.500 0.246
Ge1 0.000 0.000 0.500
Ge2 0.000 0.500 0.867
Ge3 0.500 0.500 0.500
Pd1 0.000 0.000 0.000
Pd2 0.000 0.500 0.634
Pt1 0.500 0.500 0.000
```

* M_tot: 0.00 μB per formula unit
* DOS(E_F): 5.84 states/eV per cell
* formation energy from the elements: -0.77 eV per atom

---

4.
Below is Ho2Ge3PdPt4 after structural relaxation, with properties calculated at the PBE-GGA level.

CIF file:
```
data_Ho2Ge3PdPt4
_cell_length_a 4.022
_cell_length_b 4.022
_cell_length_c 11.519
_cell_angle_alpha 90.00
_cell_angle_beta 90.00
_cell_angle_gamma 90.00
_space_group_name_H-M_alt 'P -4 m 2'
_space_group_IT_number 115
loop_
_space_group_symop_operation_xyz
'x,y,z'
'y,-x,-z'
'-x,-y,z'
'-y,x,-z'
'-x,y,z'
'-y,-x,-z'
'x,-y,z'
'y,x,-z'
loop_
_atom_site_label
_atom_site_fract_x
_atom_site_fract_y
_atom_site_fract_z
Ho1 0.000 0.500 0.239
Ge1 0.000 0.000 0.000
Ge2 0.000 0.500 0.634
Pd1 0.500 0.500 0.000
Pt1 0.000 0.000 0.500
Pt2 0.000 0.500 0.841
Pt3 0.500 0.500 0.500
```

* M_tot: 0.00 μB per formula unit
* DOS(E_F): 7.04 states/eV per cell
* formation energy from the elements: -0.84 eV per atom

---

5.
Below is HoGePdRh after structural relaxation, with properties calculated at the PBE-GGA level.

CIF file:
```
data_HoGePdRh
_cell_length_a 6.522
_cell_length_b 6.522
_cell_length_c 6.522
_cell_angle_alpha 90.00
_cell_angle_beta 90.00
_cell_angle_gamma 90.00
_space_group_name_H-M_alt 'F -4 3 m'
_space_group_IT_number 216
_space_group_name_Hall 'F -4 2 3'
loop_
_atom_site_label
_atom_site_fract_x
_atom_site_fract_y
_atom_site_fract_z
Ho1 0.000 0.000 0.000
Ge1 0.000 0.000 0.500
Pd1 0.250 0.250 0.750
Rh1 0.250 0.250 0.250
```

* M_tot: 0.00 μB per formula unit
* DOS(E_F): 11.46 states/eV per cell
* formation energy from the elements: -0.71 eV per atom

---

6.
Below is Ho2Ge2PdRh5 after structural relaxation, with properties calculated at the PBE-GGA level.

CIF file:
```
data_Ho2Ge2PdRh5
_cell_length_a 9.642
_cell_length_b 9.642
_cell_length_c 3.634
_cell_angle_alpha 90.00
_cell_angle_beta 90.00
_cell_angle_gamma 90.00
_space_group_name_H-M_alt 'P 4/m b m'
_space_group_IT_number 127
_space_group_name_Hall '-P 4 2ab'
loop_
_atom_site_label
_atom_site_fract_x
_atom_site_fract_y
_atom_site_fract_z
Ho1 0.174 0.326 0.000
Ge1 0.126 0.626 0.000
Pd1 0.000 0.000 0.000
Rh1 0.000 0.500 0.500
Rh2 0.068 0.792 0.500
```

* M_tot: 0.00 μB per formula unit
* DOS(E_F): 16.31 states/eV per cell
* formation energy from the elements: -0.69 eV per atom

---

7.
Below is Ho2Ge4PdRh3 after structural relaxation, with properties calculated at the PBE-GGA level.

CIF file:
```
data_Ho2Ge4PdRh3
_cell_length_a 4.169
_cell_length_b 4.169
_cell_length_c 10.324
_cell_angle_alpha 90.00
_cell_angle_beta 90.00
_cell_angle_gamma 90.00
_space_group_name_H-M_alt 'P -4 m 2'
_space_group_IT_number 115
loop_
_space_group_symop_operation_xyz
'x,y,z'
'y,-x,-z'
'-x,-y,z'
'-y,x,-z'
'-x,y,z'
'-y,-x,-z'
'x,-y,z'
'y,x,-z'
loop_
_atom_site_label
_atom_site_fract_x
_atom_site_fract_y
_atom_site_fract_z
Ho1 0.000 0.500 0.241
Ge1 0.000 0.000 0.000
Ge2 0.000 0.500 0.637
Ge3 0.500 0.500 0.000
Pd1 0.000 0.000 0.500
Rh1 0.000 0.500 0.870
Rh2 0.500 0.500 0.500
```

* M_tot: 0.00 μB per formula unit
* DOS(E_F): 4.79 states/eV per cell
* formation energy from the elements: -0.81 eV per atom

---

8.
Below is HoGe2PdRh after structural relaxation, with properties calculated at the PBE-GGA level.

CIF file:
```
data_HoGe2PdRh
_cell_length_a 4.156
_cell_length_b 4.156
_cell_length_c 10.393
_cell_angle_alpha 90.00
_cell_angle_beta 90.00
_cell_angle_gamma 90.00
_space_group_name_H-M_alt 'I -4 m 2'
_space_group_IT_number 119
_space_group_name_Hall 'I -4 -2'
loop_
_atom_site_label
_atom_site_fract_x
_atom_site_fract_y
_atom_site_fract_z
Ho1 0.000 0.000 0.000
Ge1 0.000 0.000 0.383
Pd1 0.000 0.500 0.750
Rh1 0.000 0.500 0.250
```

* M_tot: 0.00 μB per formula unit
* DOS(E_F): 6.80 states/eV per cell
* formation energy from the elements: -0.80 eV per atom

---

9.
Below is HoGe2PdRu after structural relaxation, with properties calculated at the PBE-GGA level.

CIF file:
```
data_HoGe2PdRu
_cell_length_a 4.146
_cell_length_b 4.146
_cell_length_c 10.443
_cell_angle_alpha 90.00
_cell_angle_beta 90.00
_cell_angle_gamma 90.00
_space_group_name_H-M_alt 'I -4 m 2'
_space_group_IT_number 119
_space_group_name_Hall 'I -4 -2'
loop_
_atom_site_label
_atom_site_fract_x
_atom_site_fract_y
_atom_site_fract_z
Ho1 0.000 0.000 0.000
Ge1 0.000 0.000 0.380
Pd1 0.000 0.500 0.750
Ru1 0.000 0.500 0.250
```

* M_tot: 0.00 μB per formula unit
* DOS(E_F): 4.81 states/eV per cell
* formation energy from the elements: -0.69 eV per atom

---

10.
Below is SmHoGePd after structural relaxation, with properties calculated at the PBE-GGA level.

CIF file:
```
data_SmHoGePd
_cell_length_a 7.151
_cell_length_b 7.151
_cell_length_c 7.151
_cell_angle_alpha 90.00
_cell_angle_beta 90.00
_cell_angle_gamma 90.00
_space_group_name_H-M_alt 'F -4 3 m'
_space_group_IT_number 216
_space_group_name_Hall 'F -4 2 3'
loop_
_atom_site_label
_atom_site_fract_x
_atom_site_fract_y
_atom_site_fract_z
Sm1 0.000 0.000 0.000
Ho1 0.000 0.000 0.500
Ge1 0.250 0.250 0.750
Pd1 0.250 0.250 0.250
```

* polymorph energy (0 for the lowest one): 86.5 meV per atom
* M_tot: 0.00 μB per formula unit
* DOS(E_F): 7.54 states/eV per cell
* formation energy from the elements: -0.78 eV per atom

---

11.
Below is SmHoGePd after structural relaxation, with properties calculated at the PBE-GGA level.

CIF file:
```
data_SmHoGePd
_cell_length_a 4.315
_cell_length_b 3.956
_cell_length_c 11.018
_cell_angle_alpha 90.00
_cell_angle_beta 90.00
_cell_angle_gamma 90.00
_space_group_name_H-M_alt 'A m m 2'
_space_group_IT_number 38
loop_
_space_group_symop_operation_xyz
'x,y,z'
'-x,-y,z'
'-x,y,z'
'x,-y,z'
'x,y+1/2,z+1/2'
'-x,-y+1/2,z+1/2'
'-x,y+1/2,z+1/2'
'x,-y+1/2,z+1/2'
loop_
_atom_site_label
_atom_site_fract_x
_atom_site_fract_y
_atom_site_fract_z
Sm1 0.000 0.000 0.000
Ho1 0.500 0.000 0.278
Ge1 0.000 0.000 0.725
Pd1 0.500 0.000 0.563
```

* polymorph energy (0 for the lowest one): 0.0 meV per atom
* M_tot: 0.00 μB per formula unit
* DOS(E_F): 2.70 states/eV per cell
* formation energy from the elements: -0.87 eV per atom

---

12.
Below is SrHoGe2Pd5 after structural relaxation, with properties calculated at the PBE-GGA level.

CIF file:
```
data_SrHoGe2Pd5
_cell_length_a 4.388
_cell_length_b 4.388
_cell_length_c 8.889
_cell_angle_alpha 90.00
_cell_angle_beta 90.00
_cell_angle_gamma 90.00
_space_group_name_H-M_alt 'P 4/m m m'
_space_group_IT_number 123
_space_group_name_Hall '-P 4 2'
loop_
_atom_site_label
_atom_site_fract_x
_atom_site_fract_y
_atom_site_fract_z
Sr1 0.000 0.000 0.000
Ho1 0.000 0.000 0.500
Ge1 0.500 0.500 0.361
Pd1 0.000 0.500 0.239
Pd2 0.500 0.500 0.000
```

* M_tot: 0.00 μB per formula unit
* DOS(E_F): 3.62 states/eV per cell
* formation energy from the elements: -0.66 eV per atom

---

13.
Below is TbHoGePd after structural relaxation, with properties calculated at the PBE-GGA level.

CIF file:
```
data_TbHoGePd
_cell_length_a 4.302
_cell_length_b 3.911
_cell_length_c 10.892
_cell_angle_alpha 90.00
_cell_angle_beta 90.00
_cell_angle_gamma 90.00
_space_group_name_H-M_alt 'A m m 2'
_space_group_IT_number 38
loop_
_space_group_symop_operation_xyz
'x,y,z'
'-x,-y,z'
'-x,y,z'
'x,-y,z'
'x,y+1/2,z+1/2'
'-x,-y+1/2,z+1/2'
'-x,y+1/2,z+1/2'
'x,-y+1/2,z+1/2'
loop_
_atom_site_label
_atom_site_fract_x
_atom_site_fract_y
_atom_site_fract_z
Tb1 0.000 0.000 0.000
Ho1 0.500 0.000 0.722
Ge1 0.000 0.000 0.277
Pd1 0.500 0.000 0.440
```

* polymorph energy (0 for the lowest one): 0.0 meV per atom
* M_tot: 0.00 μB per formula unit
* DOS(E_F): 2.88 states/eV per cell
* formation energy from the elements: -0.89 eV per atom

---

14.
Below is TbHoGe2Pd2 after structural relaxation, with properties calculated at the PBE-GGA level.

CIF file:
```
data_TbHoGe2Pd2
_cell_length_a 4.4297
_cell_length_b 4.4297
_cell_length_c 7.0405
_cell_angle_alpha 90.00
_cell_angle_beta 90.00
_cell_angle_gamma 120.00
_space_group_name_H-M_alt 'P -3 m 1'
_space_group_IT_number 164
_space_group_name_Hall '-P 3 2"'
loop_
_atom_site_label
_atom_site_fract_x
_atom_site_fract_y
_atom_site_fract_z
Tb1 0.0000 0.0000 0.0000
Ho1 0.0000 0.0000 0.5000
Ge1 0.3333 0.6667 0.7459
Pd1 0.3333 0.6667 0.2639
```

* M_tot: 0.00 μB per formula unit
* DOS(E_F): 3.13 states/eV per cell
* formation energy from the elements: -0.93 eV per atom

---

15.
Below is TbHoGePd after structural relaxation, with properties calculated at the PBE-GGA level.

CIF file:
```
data_TbHoGePd
_cell_length_a 7.088
_cell_length_b 7.088
_cell_length_c 7.088
_cell_angle_alpha 90.00
_cell_angle_beta 90.00
_cell_angle_gamma 90.00
_space_group_name_H-M_alt 'F -4 3 m'
_space_group_IT_number 216
_space_group_name_Hall 'F -4 2 3'
loop_
_atom_site_label
_atom_site_fract_x
_atom_site_fract_y
_atom_site_fract_z
Tb1 0.000 0.000 0.000
Ho1 0.000 0.000 0.500
Ge1 0.250 0.250 0.250
Pd1 0.250 0.250 0.750
```

* polymorph energy (0 for the lowest one): 83.2 meV per atom
* M_tot: 0.00 μB per formula unit
* DOS(E_F): 6.50 states/eV per cell
* formation energy from the elements: -0.81 eV per atom

---

16.
Below is Ho8Ge3Te4Pd after structural relaxation, with properties calculated at the PBE-GGA level.

CIF file:
```
data_Ho8Ge3Te4Pd
_cell_length_a 8.4253
_cell_length_b 8.4253
_cell_length_c 21.1820
_cell_angle_alpha 90.00
_cell_angle_beta 90.00
_cell_angle_gamma 120.00
_space_group_name_H-M_alt 'R -3 m'
_space_group_IT_number 166
_space_group_name_Hall '-R 3 2"'
loop_
_atom_site_label
_atom_site_fract_x
_atom_site_fract_y
_atom_site_fract_z
Ho1 0.0000 0.0000 0.2402
Ho2 0.0032 0.5016 0.7602
Ge1 0.0000 0.5000 0.5000
Te1 0.0000 0.0000 0.0000
Te2 0.0000 0.5000 0.0000
Pd1 0.0000 0.0000 0.5000
```

* M_tot: 0.00 μB per formula unit
* DOS(E_F): 19.61 states/eV per cell
* uncorrected energy: -5.39 eV/atom

---

17.
Below is HoZnGePd after structural relaxation, with properties calculated at the PBE-GGA level.

CIF file:
```
data_HoZnGePd
_cell_length_a 6.608
_cell_length_b 6.608
_cell_length_c 6.608
_cell_angle_alpha 90.00
_cell_angle_beta 90.00
_cell_angle_gamma 90.00
_space_group_name_H-M_alt 'F -4 3 m'
_space_group_IT_number 216
_space_group_name_Hall 'F -4 2 3'
loop_
_atom_site_label
_atom_site_fract_x
_atom_site_fract_y
_atom_site_fract_z
Ho1 0.000 0.000 0.000
Zn1 0.250 0.250 0.750
Ge1 0.250 0.250 0.250
Pd1 0.000 0.000 0.500
```

* M_tot: 0.00 μB per formula unit
* DOS(E_F): 14.34 states/eV per cell
* formation energy from the elements: -0.53 eV per atom

---

18.
Below is HoZnGe2Pd after structural relaxation, with properties calculated at the PBE-GGA level.

CIF file:
```
data_HoZnGe2Pd
_cell_length_a 4.103
_cell_length_b 4.103
_cell_length_c 10.822
_cell_angle_alpha 90.00
_cell_angle_beta 90.00
_cell_angle_gamma 90.00
_space_group_name_H-M_alt 'I -4 m 2'
_space_group_IT_number 119
_space_group_name_Hall 'I -4 -2'
loop_
_atom_site_label
_atom_site_fract_x
_atom_site_fract_y
_atom_site_fract_z
Ho1 0.000 0.000 0.000
Zn1 0.000 0.500 0.250
Ge1 0.000 0.000 0.387
Pd1 0.000 0.500 0.750
```

* M_tot: 0.00 μB per formula unit
* DOS(E_F): 2.08 states/eV per cell
* formation energy from the elements: -0.62 eV per atom

---

19.
Below is Ho2ZnGe4Pd3 after structural relaxation, with properties calculated at the PBE-GGA level.

CIF file:
```
data_Ho2ZnGe4Pd3
_cell_length_a 4.100
_cell_length_b 4.100
_cell_length_c 11.014
_cell_angle_alpha 90.00
_cell_angle_beta 90.00
_cell_angle_gamma 90.00
_space_group_name_H-M_alt 'P -4 m 2'
_space_group_IT_number 115
loop_
_space_group_symop_operation_xyz
'x,y,z'
'y,-x,-z'
'-x,-y,z'
'-y,x,-z'
'-x,y,z'
'-y,-x,-z'
'x,-y,z'
'y,x,-z'
loop_
_atom_site_label
_atom_site_fract_x
_atom_site_fract_y
_atom_site_fract_z
Ho1 0.000 0.500 0.241
Zn1 0.500 0.500 0.000
Ge1 0.000 0.000 0.500
Ge2 0.000 0.500 0.860
Ge3 0.500 0.500 0.500
Pd1 0.000 0.000 0.000
Pd2 0.000 0.500 0.638
```

* M_tot: 0.00 μB per formula unit
* DOS(E_F): 4.00 states/eV per cell
* formation energy from the elements: -0.69 eV per atom

---

20.
Below is Ho2ZnGe3Pd4 after structural relaxation, with properties calculated at the PBE-GGA level.

CIF file:
```
data_Ho2ZnGe3Pd4
_cell_length_a 4.203
_cell_length_b 4.203
_cell_length_c 10.438
_cell_angle_alpha 90.00
_cell_angle_beta 90.00
_cell_angle_gamma 90.00
_space_group_name_H-M_alt 'P -4 m 2'
_space_group_IT_number 115
loop_
_space_group_symop_operation_xyz
'x,y,z'
'y,-x,-z'
'-x,-y,z'
'-y,x,-z'
'-x,y,z'
'-y,-x,-z'
'x,-y,z'
'y,x,-z'
loop_
_atom_site_label
_atom_site_fract_x
_atom_site_fract_y
_atom_site_fract_z
Ho1 0.000 0.500 0.249
Zn1 0.500 0.500 0.000
Ge1 0.000 0.000 0.000
Ge2 0.000 0.500 0.634
Pd1 0.000 0.000 0.500
Pd2 0.000 0.500 0.865
Pd3 0.500 0.500 0.500
```

* M_tot: 0.00 μB per formula unit
* DOS(E_F): 5.74 states/eV per cell
* formation energy from the elements: -0.75 eV per atom